! Pr5Dy4Th2, optimized geometry, DFT PBE-GGA; values from VASP
! formation energy	480.2	meV/atom
! SG	No. 71
! spin magnetization	0.000	Bohr magnetons per cell
! mass density	7.47	g/cm³
! DOS(E_F)	17.6	states/eV/cell
&SYSTEM
  ibrav = 0, nat = 11, ntyp = 3
/
ATOMIC_SPECIES
Pr 140.91 Pr.upf
Dy 162.50 Dy.upf
Th 232.04 Th.upf
CELL_PARAMETERS angstrom
3.459 0.000 0.000
0.000 9.373 0.000
-1.729 -4.686 12.478
ATOMIC_POSITIONS crystal
Pr 0.500 0.000 0.000
Pr 0.843 0.163 0.686
Dy 0.000 0.681 0.000
Dy 0.761 0.761 0.523
Th 0.892 0.892 0.784
Th 0.108 0.108 0.216
Pr 0.843 0.523 0.686
Pr 0.157 0.477 0.314
Pr 0.157 0.837 0.314
Dy 0.000 0.319 0.000
Dy 0.239 0.239 0.477